No. 1
Compound: Nd4Y
Source: Alexandria
Functional: PBE
Structure: relaxed

Calculated values
For the polymorph energy (0 for the lowest one), the calculation gives 6 meV per atom. As for the total DFT energy (no corrections): -5.092 eV/atom. Its calculated density is 6.37 Mg/m³. The total magnetization comes out at 0.0 Bohr magnetons per cell. Its calculated formation energy is 15 meV per atom. Its density of states at the Fermi level is 7.222 states/eV per cell.

Cell lengths 13.197, 13.197, 13.197 Å; angles 164.04, 164.04, 22.64 degrees
Fractional positions:
Nd (0.099, 0.099, 0.000)
Nd (0.301, 0.301, 0.000)
Nd (0.699, 0.699, 0.000)
Nd (0.901, 0.901, 0.000)
Y (0.500, 0.500, 0.000)



No. 2
Compound: Nd5Y6
Source: Alexandria
Functional: PBE
Structure: relaxed

Calculated values
As for the total DFT energy (no corrections): -5.560 eV/atom. Its calculated density is 5.54 Mg/m³. The total magnetization comes out at 0.0 Bohr magnetons per cell. Its calculated formation energy is 133 meV per atom. Its density of states at the Fermi level is 13.129 states/eV per cell.

Cell lengths 8.046, 8.046, 6.485 Å; angles 99.91, 99.91, 110.01 degrees
Fractional positions:
Nd (0.000, 0.000, 0.000)
Nd (0.129, 0.871, 0.500)
Nd (0.261, 0.739, 0.000)
Nd (0.739, 0.261, 0.000)
Nd (0.871, 0.129, 0.500)
Y (0.192, 0.454, 0.328)
Y (0.336, 0.336, 0.810)
Y (0.454, 0.192, 0.328)
Y (0.546, 0.808, 0.672)
Y (0.664, 0.664, 0.190)
Y (0.808, 0.546, 0.672)



No. 3
Compound: Nd3Y8
Source: Alexandria
Functional: PBE
Structure: relaxed

Calculated values
For the polymorph energy (0 for the lowest one), the calculation gives 0 meV per atom. As for the total DFT energy (no corrections): -5.985 eV/atom. Its calculated density is 5.24 Mg/m³. The total magnetization comes out at 0.0 Bohr magnetons per cell. Its calculated formation energy is 17 meV per atom. Its density of states at the Fermi level is 15.333 states/eV per cell.

Cell lengths 32.242, 32.242, 32.242 Å; angles 6.41, 6.41, 6.41 degrees
Fractional positions:
Nd (0.000, 0.000, 0.000)
Nd (0.272, 0.272, 0.272)
Nd (0.728, 0.728, 0.728)
Y (0.092, 0.092, 0.092)
Y (0.182, 0.182, 0.182)
Y (0.364, 0.364, 0.364)
Y (0.455, 0.455, 0.455)
Y (0.545, 0.545, 0.545)
Y (0.636, 0.636, 0.636)
Y (0.818, 0.818, 0.818)
Y (0.908, 0.908, 0.908)